(1)
Compound: CaCuHgCl2
Source: Alexandria
Functional: PBE-GGA
Structure: relaxed

abc: 4.849 4.849 5.287
angles: 90.00 90.00 90.00
Space group P4/mmm (No. 123)
Inequivalent atoms, fractional coordinates:
Ca1 0.000 0.000 0.000 [1 per cell]
Cu1 0.500 0.500 0.500 [1 per cell]
Hg1 0.500 0.500 0.000 [1 per cell]
Cl1 0.000 0.500 0.500 [2 per cell]

Computed properties:
The calculation puts the density at 5.01 g/cm3. The crystal system is tetragonal.



(2)
Compound: KCaCu2Cl6
Source: Alexandria
Functional: PBE-GGA
Structure: relaxed

abc: 6.661 6.956 8.205
angles: 91.75 113.02 117.66
Space group P-1 (No. 2)
Inequivalent atoms, fractional coordinates:
K1 0.000 0.000 0.000 [1 per cell]
Ca1 0.000 0.500 0.500 [1 per cell]
Cu1 0.484 0.231 0.713 [2 per cell]
Cl1 0.176 0.270 0.727 [2 per cell]
Cl2 0.203 0.450 0.277 [2 per cell]
Cl3 0.441 0.900 0.730 [2 per cell]

Computed properties:
The calculation puts the density at 2.33 g/cm3. The crystal system is triclinic.



(3)
Compound: K2CaCuCl5
Source: Alexandria
Functional: PBE-GGA
Structure: relaxed

abc: 4.087 18.471 13.102
angles: 90.00 90.00 90.00
Space group Cmc2_1 (No. 36)
Inequivalent atoms, fractional coordinates:
K1 0.000 0.112 0.000 [4 per cell]
K2 0.000 0.123 0.641 [4 per cell]
Ca1 0.000 0.201 0.334 [4 per cell]
Cu1 0.000 0.449 0.752 [4 per cell]
Cl1 0.000 0.051 0.337 [4 per cell]
Cl2 0.000 0.295 0.976 [4 per cell]
Cl3 0.000 0.308 0.691 [4 per cell]
Cl4 0.000 0.347 0.324 [4 per cell]
Cl5 0.000 0.499 0.594 [4 per cell]

Computed properties:
The calculation puts the density at 2.41 g/cm3. The crystal system is orthorhombic.



(4)
Compound: KCa3Cu4Cl12
Source: Alexandria
Functional: PBE-GGA
Structure: relaxed

abc: 13.9496 13.9496 10.4512
angles: 90.00 90.00 120.00
Space group R32 (No. 155, hexagonal axes)
Inequivalent atoms, fractional coordinates:
K1 0.0000 0.0000 0.0000 [3 per cell]
Ca1 0.0000 0.5610 0.0000 [9 per cell]
Cu1 0.0000 0.0000 0.5000 [3 per cell]
Cu2 0.0000 0.4261 0.5000 [9 per cell]
Cl1 0.0000 0.5925 0.5000 [9 per cell]
Cl2 0.0000 0.8407 0.5000 [9 per cell]
Cl3 0.0433 0.2058 0.1885 [18 per cell]

Computed properties:
The calculation puts the density at 2.37 g/cm3. The crystal system is trigonal.



(5)
Compound: LiCaCu2Cl6
Source: Alexandria
Functional: PBE-GGA
Structure: relaxed

abc: 12.419 11.531 6.705
angles: 90.00 101.00 90.00
Space group C2/c (No. 15)
Inequivalent atoms, fractional coordinates:
Li1 0.000 0.222 0.250 [4 per cell]
Ca1 0.000 0.400 0.750 [4 per cell]
Cu1 0.176 0.080 0.798 [8 per cell]
Cl1 0.118 0.235 0.597 [8 per cell]
Cl2 0.119 0.413 0.138 [8 per cell]
Cl3 0.139 0.084 0.114 [8 per cell]

Computed properties:
The calculation puts the density at 2.73 g/cm3. The crystal system is monoclinic.



(6)
Compound: NaCaCu2Cl8
Source: Alexandria
Functional: PBE-GGA
Structure: relaxed

abc: 6.462 6.462 14.072
angles: 90.00 90.00 90.00
Space group I-4 (No. 82)
Inequivalent atoms, fractional coordinates:
Na1 0.000 0.000 0.000 [2 per cell]
Ca1 0.000 0.500 0.750 [2 per cell]
Cu1 0.000 0.000 0.500 [2 per cell]
Cu2 0.000 0.500 0.250 [2 per cell]
Cl1 0.149 0.278 0.568 [8 per cell]
Cl2 0.161 0.775 0.190 [8 per cell]

Computed properties:
The calculation puts the density at 2.68 g/cm3. The crystal system is tetragonal.



(7)
Compound: Ca3Cu2Cl2O4
Source: Alexandria
Functional: PBE-GGA
Structure: relaxed

abc: 3.873 3.873 21.792
angles: 90.00 90.00 90.00
Space group I4/mmm (No. 139)
Inequivalent atoms, fractional coordinates:
Ca1 0.000 0.000 0.000 [2 per cell]
Ca2 0.000 0.000 0.146 [4 per cell]
Cu1 0.000 0.000 0.430 [4 per cell]
Cl1 0.000 0.000 0.300 [4 per cell]
O1 0.000 0.500 0.074 [8 per cell]

Computed properties:
The calculation puts the density at 3.88 g/cm3. The crystal system is tetragonal.



(8)
Compound: CaSmCuClO3
Source: Alexandria
Functional: PBE-GGA
Structure: relaxed

abc: 3.916 3.916 13.664
angles: 90.00 90.00 90.00
Space group P4/nmm (No. 129, origin choice 2)
Inequivalent atoms, fractional coordinates:
Ca1 0.250 0.250 0.163 [2 per cell]
Sm1 0.250 0.250 0.412 [2 per cell]
Cu1 0.250 0.250 0.721 [2 per cell]
Cl1 0.250 0.250 0.924 [2 per cell]
O1 0.250 0.750 0.276 [4 per cell]
O2 0.250 0.750 0.500 [2 per cell]

Computed properties:
The calculation puts the density at 5.35 g/cm3. The crystal system is tetragonal.



(9)
Compound: Ca4Sm2Cu3Cl4O8
Source: Alexandria
Functional: PBE-GGA
Structure: relaxed

abc: 3.905 3.905 42.719
angles: 90.00 90.00 90.00
Space group I4/mmm (No. 139)
Inequivalent atoms, fractional coordinates:
Ca1 0.000 0.000 0.037 [4 per cell]
Ca2 0.000 0.000 0.358 [4 per cell]
Sm1 0.000 0.000 0.278 [4 per cell]
Cu1 0.000 0.000 0.179 [4 per cell]
Cu2 0.000 0.000 0.500 [2 per cell]
Cl1 0.000 0.000 0.114 [4 per cell]
Cl2 0.000 0.000 0.435 [4 per cell]
O1 0.000 0.500 0.000 [4 per cell]
O2 0.000 0.500 0.178 [8 per cell]
O3 0.000 0.500 0.250 [4 per cell]

Computed properties:
The calculation puts the density at 4.70 g/cm3. The crystal system is tetragonal.



(10)
Compound: RbCaCu2Cl8
Source: Alexandria
Functional: PBE-GGA
Structure: relaxed

abc: 6.5278 6.5278 9.3620
angles: 90.00 90.00 120.00
Space group P-3 (No. 147)
Inequivalent atoms, fractional coordinates:
Rb1 0.0000 0.0000 0.0000 [1 per cell]
Ca1 0.0000 0.0000 0.5000 [1 per cell]
Cu1 0.3333 0.6667 0.7425 [2 per cell]
Cl1 0.0015 0.3313 0.6833 [6 per cell]
Cl2 0.3333 0.6667 0.9774 [2 per cell]

Computed properties:
The calculation puts the density at 2.58 g/cm3. The crystal system is trigonal.



(11)
Compound: Rb2CaCuCl6
Source: Alexandria
Functional: PBE-GGA
Structure: relaxed

abc: 10.344 10.344 10.344
angles: 90.00 90.00 90.00
Space group Fm-3m (No. 225)
Inequivalent atoms, fractional coordinates:
Rb1 0.250 0.250 0.250 [8 per cell]
Ca1 0.000 0.000 0.000 [4 per cell]
Cu1 0.000 0.000 0.500 [4 per cell]
Cl1 0.000 0.000 0.262 [24 per cell]

Computed properties:
The calculation puts the density at 2.92 g/cm3. The crystal system is cubic.



(12)
Compound: Rb2CaCuCl6
Source: Alexandria
Functional: PBE-GGA
Structure: relaxed

abc: 7.466 7.416 12.397
angles: 90.00 126.05 90.00
Space group P2_1/c (No. 14)
Inequivalent atoms, fractional coordinates:
Rb1 0.248 0.014 0.249 [4 per cell]
Ca1 0.000 0.000 0.500 [2 per cell]
Cu1 0.500 0.000 0.000 [2 per cell]
Cl1 0.219 0.230 0.977 [4 per cell]
Cl2 0.249 0.743 0.977 [4 per cell]
Cl3 0.320 0.003 0.773 [4 per cell]

Computed properties:
The calculation puts the density at 2.92 g/cm3. The crystal system is monoclinic.



(13)
Compound: Rb3Ca2CuCl9
Source: Alexandria
Functional: PBE-GGA
Structure: relaxed

abc: 7.4218 7.4218 9.1261
angles: 90.00 90.00 120.00
Space group P-3m1 (No. 164)
Inequivalent atoms, fractional coordinates:
Rb1 0.0000 0.0000 0.0000 [1 per cell]
Rb2 0.3333 0.6667 0.6625 [2 per cell]
Ca1 0.3333 0.6667 0.1786 [2 per cell]
Cu1 0.0000 0.0000 0.5000 [1 per cell]
Cl1 0.0000 0.5000 0.0000 [3 per cell]
Cl2 0.1575 0.3149 0.3452 [6 per cell]

Computed properties:
The calculation puts the density at 2.74 g/cm3. The crystal system is trigonal.



(14)
Compound: CaCu2ReCl
Source: Alexandria
Functional: PBE-GGA
Structure: relaxed

abc: 4.615 4.615 6.033
angles: 90.00 90.00 90.00
Space group P4/mmm (No. 123)
Inequivalent atoms, fractional coordinates:
Ca1 0.000 0.000 0.000 [1 per cell]
Cu1 0.000 0.500 0.500 [2 per cell]
Re1 0.000 0.000 0.500 [1 per cell]
Cl1 0.500 0.500 0.000 [1 per cell]

Computed properties:
The calculation puts the density at 5.02 g/cm3. The crystal system is tetragonal.



(15)
Compound: CaCu2RhCl
Source: Alexandria
Functional: PBE-GGA
Structure: relaxed

abc: 4.543 4.543 4.689
angles: 90.00 90.00 90.00
Space group P4/mmm (No. 123)
Inequivalent atoms, fractional coordinates:
Ca1 0.000 0.000 0.000 [1 per cell]
Cu1 0.000 0.500 0.500 [2 per cell]
Rh1 0.500 0.500 0.000 [1 per cell]
Cl1 0.500 0.500 0.500 [1 per cell]

Computed properties:
The calculation puts the density at 5.24 g/cm3. The crystal system is tetragonal.



(16)
Compound: Ca2CuRhCl
Source: Alexandria
Functional: PBE-GGA
Structure: relaxed

abc: 5.256 5.256 4.424
angles: 90.00 90.00 90.00
Space group P4/mmm (No. 123)
Inequivalent atoms, fractional coordinates:
Ca1 0.000 0.500 0.000 [2 per cell]
Cu1 0.000 0.000 0.500 [1 per cell]
Rh1 0.500 0.500 0.500 [1 per cell]
Cl1 0.500 0.500 0.000 [1 per cell]

Computed properties:
The calculation puts the density at 3.83 g/cm3. The crystal system is tetragonal.



(17)
Compound: Ca2CuRuCl
Source: Alexandria
Functional: PBE-GGA
Structure: relaxed

abc: 5.263 5.263 4.340
angles: 90.00 90.00 90.00
Space group P4/mmm (No. 123)
Inequivalent atoms, fractional coordinates:
Ca1 0.000 0.500 0.000 [2 per cell]
Cu1 0.000 0.000 0.500 [1 per cell]
Ru1 0.500 0.500 0.500 [1 per cell]
Cl1 0.500 0.500 0.000 [1 per cell]

Computed properties:
The calculation puts the density at 3.87 g/cm3. The crystal system is tetragonal.



(18)
Compound: CaCuSCl2
Source: Alexandria
Functional: PBE-GGA
Structure: relaxed

abc: 5.210 5.210 5.553
angles: 90.00 90.00 90.00
Space group P4/mmm (No. 123)
Inequivalent atoms, fractional coordinates:
Ca1 0.000 0.000 0.000 [1 per cell]
Cu1 0.500 0.500 0.500 [1 per cell]
S1 0.000 0.000 0.500 [1 per cell]
Cl1 0.000 0.500 0.000 [2 per cell]

Computed properties:
The calculation puts the density at 2.28 g/cm3. The crystal system is tetragonal.



(19)
Compound: CaCuS2Cl
Source: Alexandria
Functional: PBE-GGA
Structure: relaxed

abc: 5.281 5.281 5.200
angles: 90.00 90.00 90.00
Space group P4/mmm (No. 123)
Inequivalent atoms, fractional coordinates:
Ca1 0.000 0.000 0.000 [1 per cell]
Cu1 0.500 0.500 0.500 [1 per cell]
S1 0.000 0.500 0.000 [2 per cell]
Cl1 0.000 0.000 0.500 [1 per cell]

Computed properties:
The calculation puts the density at 2.33 g/cm3. The crystal system is tetragonal.



(20)
Compound: CaCuSCl2
Source: Alexandria
Functional: PBE-GGA
Structure: relaxed

abc: 4.652 4.652 4.855
angles: 90.00 90.00 90.00
Space group P4/mmm (No. 123)
Inequivalent atoms, fractional coordinates:
Ca1 0.000 0.000 0.000 [1 per cell]
Cu1 0.500 0.500 0.500 [1 per cell]
S1 0.500 0.500 0.000 [1 per cell]
Cl1 0.000 0.500 0.500 [2 per cell]

Computed properties:
The calculation puts the density at 3.26 g/cm3. The crystal system is tetragonal.



(21)
Compound: Ca2CuS2Cl2
Source: Alexandria
Functional: PBE-GGA
Structure: relaxed

abc: 5.602 5.602 5.313
angles: 90.00 90.00 90.00
Space group P4/mmm (No. 123)
Inequivalent atoms, fractional coordinates:
Ca1 0.000 0.500 0.000 [2 per cell]
Cu1 0.000 0.000 0.500 [1 per cell]
S1 0.000 0.000 0.000 [1 per cell]
S2 0.500 0.500 0.000 [1 per cell]
Cl1 0.000 0.500 0.500 [2 per cell]

Computed properties:
The calculation puts the density at 2.78 g/cm3. The crystal system is tetragonal.



(22)
Compound: CaCuS2Cl
Source: Alexandria
Functional: PBE-GGA
Structure: relaxed

abc: 4.500 4.500 5.111
angles: 90.00 90.00 90.00
Space group P4/mmm (No. 123)
Inequivalent atoms, fractional coordinates:
Ca1 0.000 0.000 0.000 [1 per cell]
Cu1 0.500 0.500 0.500 [1 per cell]
S1 0.000 0.500 0.500 [2 per cell]
Cl1 0.500 0.500 0.000 [1 per cell]

Computed properties:
The calculation puts the density at 3.26 g/cm3. The crystal system is tetragonal.



no.,E_form (uncorrected) (eV/f.u.),DOS(E_F) (states/eV/cell)
1,-3.11,2.174
2,-13.45,5.960
3,-15.94,0.000
4,-29.30,37.682
5,-13.04,26.496
6,-12.44,20.001
7,-21.45,2.015
8,-16.30,2.471
9,-46.82,7.172
10,-13.02,12.592
11,-16.15,32.961
12,-16.19,6.995
13,-27.27,6.366
14,3.82,4.847
15,1.83,2.303
16,-1.06,2.810
17,0.16,1.245
18,-2.30,4.259
19,0.38,10.978
20,-5.01,1.694
21,-9.35,3.334
22,-3.71,1.544